{
  "formula": "Pm12PrTm6",
  "functional": "PBE",
  "state": "optimized geometry",
  "sg": "R-3m, No. 166",
  "de_polymorph_ev_per_atom": 0.0575,
  "lattice_angstrom": [[6.6855, 3.8599, 4.2201], [-6.6855, 3.8599, 4.2201], [0.0000, -7.7197, 4.2201]],
  "species": ["Pm", "Pm", "Pm", "Pm", "Pm", "Pm", "Pm", "Pm", "Pm", "Pm", "Pm", "Pm", "Pr", "Tm", "Tm", "Tm", "Tm", "Tm", "Tm"],
  "frac_coords": [[0.0000, 0.2582, 0.7418], [0.0000, 0.7418, 0.2582], [0.1455, 0.1455, 0.4183], [0.1455, 0.4183, 0.1455], [0.2582, 0.0000, 0.7418], [0.2582, 0.7418, 0.0000], [0.4183, 0.1455, 0.1455], [0.5817, 0.8545, 0.8545], [0.7418, 0.0000, 0.2582], [0.7418, 0.2582, 0.0000], [0.8545, 0.5817, 0.8545], [0.8545, 0.8545, 0.5817], [0.5000, 0.5000, 0.5000], [0.1620, 0.6007, 0.6007], [0.3993, 0.3993, 0.8380], [0.3993, 0.8380, 0.3993], [0.6007, 0.1620, 0.6007], [0.6007, 0.6007, 0.1620], [0.8380, 0.3993, 0.3993]]
}



{
  "formula": "EuGdAsAu",
  "functional": "PBE",
  "state": "optimized geometry",
  "sg": "F-43m, No. 216",
  "lattice_angstrom": [[7.3298, 0.0000, 0.0000], [0.0000, 7.3298, 0.0000], [0.0000, 0.0000, 7.3298]],
  "species": ["Eu", "Eu", "Eu", "Eu", "Gd", "Gd", "Gd", "Gd", "As", "As", "As", "As", "Au", "Au", "Au", "Au"],
  "frac_coords": [[0.0000, 0.0000, 0.0000], [0.0000, 0.5000, 0.5000], [0.5000, 0.0000, 0.5000], [0.5000, 0.5000, 0.0000], [0.0000, 0.0000, 0.5000], [0.0000, 0.5000, 0.0000], [0.5000, 0.0000, 0.0000], [0.5000, 0.5000, 0.5000], [0.2500, 0.2500, 0.2500], [0.2500, 0.7500, 0.7500], [0.7500, 0.2500, 0.7500], [0.7500, 0.7500, 0.2500], [0.2500, 0.2500, 0.7500], [0.2500, 0.7500, 0.2500], [0.7500, 0.2500, 0.2500], [0.7500, 0.7500, 0.7500]]
}



{
  "formula": "RbGa2Sn2",
  "functional": "PBE",
  "state": "optimized geometry",
  "sg": "P4/mmm, No. 123",
  "de_polymorph_ev_per_atom": 0.1440,
  "lattice_angstrom": [[4.6721, 0.0000, 0.0000], [0.0000, 4.6721, 0.0000], [0.0000, 0.0000, 6.9530]],
  "species": ["Rb", "Ga", "Ga", "Sn", "Sn"],
  "frac_coords": [[0.0000, 0.0000, 0.0000], [0.0000, 0.5000, 0.5000], [0.5000, 0.0000, 0.5000], [0.5000, 0.5000, 0.2513], [0.5000, 0.5000, 0.7487]]
}



{
  "formula": "Pu2TiZn16",
  "functional": "PBE",
  "state": "optimized geometry",
  "sg": "R3m, No. 160",
  "lattice_angstrom": [[4.5102, 2.6040, 4.4314], [-4.5102, 2.6040, 4.4314], [0.0000, -5.2079, 4.4314]],
  "species": ["Pu", "Pu", "Ti", "Zn", "Zn", "Zn", "Zn", "Zn", "Zn", "Zn", "Zn", "Zn", "Zn", "Zn", "Zn", "Zn", "Zn", "Zn", "Zn"],
  "frac_coords": [[0.0000, 0.0000, 0.0000], [0.3311, 0.3311, 0.3311], [0.5591, 0.5591, 0.5591], [0.0187, 0.0187, 0.4941], [0.0187, 0.4941, 0.0187], [0.1557, 0.6620, 0.6620], [0.3055, 0.3055, 0.8063], [0.3055, 0.8063, 0.3055], [0.3676, 0.6594, 0.9499], [0.3676, 0.9499, 0.6594], [0.4941, 0.0187, 0.0187], [0.6594, 0.3676, 0.9499], [0.6594, 0.9499, 0.3676], [0.6620, 0.1557, 0.6620], [0.6620, 0.6620, 0.1557], [0.7670, 0.7670, 0.7670], [0.8063, 0.3055, 0.3055], [0.9499, 0.3676, 0.6594], [0.9499, 0.6594, 0.3676]]
}



| no. | E_form (eV per atom) |
| --- | --- |
| 1 | 0.193 |
| 2 | -0.928 |
| 3 | -0.017 |
| 4 | -0.129 |